10
Lattice="-0.804 -4.013 3.110 6.035 -2.120 -1.176 2.012 4.948 6.907" Properties=species:S:1:pos:R:3 comment="Tb3SmPt PBE-GGA relaxed" rho_g_cm3=9.42 ef_ev_per_fu=-2.29 final_energy_ev_per_cell=-53.89 relative_energy_mev_per_atom=0 spacegroup="P2_1/m (11)" pbc="T T T"
Tb 2.543 -1.397 2.046
Tb 6.775 1.495 6.874
Tb 3.106 -1.978 5.692
Tb 6.429 -2.032 6.481
Tb 4.210 0.023 8.561
Tb 5.867 -1.452 2.836
Sm 2.891 1.545 5.935
Sm 0.046 -2.854 3.769
Pt 5.283 0.263 4.897
Pt 3.690 -3.691 3.629